# ErTl2SbO8 (GGA-PBE, optimized geometry)
# Magnetization in μB per cell: 0.00
# Raw formation energy in eV/atom: -1.259
# DOS(E_F) in states/eV per cell: 0.2
data_ErTl2SbO8
_chemical_formula_sum 'Er1 Tl2 Sb1 O8'
_space_group_name_H-M_alt 'P 1 2/m 1'
_space_group_IT_number 10
_cell_length_a 4.649
_cell_length_b 6.928
_cell_length_c 5.193
_cell_angle_alpha 90.00
_cell_angle_beta 93.20
_cell_angle_gamma 90.00
loop_
_space_group_symop_operation_xyz
'x,y,z'
'-x,-y,-z'
'-x,y,-z'
'x,-y,z'
loop_
_atom_site_label
_atom_site_type_symbol
_atom_site_fract_x
_atom_site_fract_y
_atom_site_fract_z
_atom_site_occupancy
Er1 Er 0.000 0.000 0.000 1
Tl1 Tl 0.500 0.270 0.500 1
Sb1 Sb 0.000 0.500 0.000 1
O1 O 0.139 0.000 0.577 1
O2 O 0.232 0.500 0.691 1
O3 O 0.233 0.266 0.143 1